Computed, not measured: an optimized crystal structure of AcAl2Cu9 at the PBE level of DFT.

Cell and atoms, written as POSCAR:
```
AcAl2Cu9
1.0
8.467 0.000 0.000
0.000 8.467 0.000
0.000 0.000 4.943
Ac Al Cu
2 4 18
Cartesian
0.000 0.000 0.000
4.233 4.233 0.000
0.977 3.256 0.000
3.256 7.490 0.000
5.210 0.977 0.000
7.490 5.210 0.000
0.000 4.233 2.471
0.584 1.817 2.471
1.488 5.721 1.195
1.488 5.721 3.747
1.817 7.883 2.471
2.417 3.650 2.471
2.746 1.488 1.195
2.746 1.488 3.747
3.650 6.050 2.471
4.233 0.000 2.471
4.817 2.417 2.471
5.721 6.979 1.195
5.721 6.979 3.747
6.050 4.817 2.471
6.650 0.584 2.471
6.979 2.746 1.195
6.979 2.746 3.747
7.883 6.650 2.471
```

Properties
ΔH_f (0 K): -2.00 eV per formula unit
Final energy: -4.2050 eV/atom
Space group: P4/mbm, No. 127
DOS(E_F): 10.8 states/eV/cell